No. 1
! CaHgO2 (meta-GGA SCAN, single point on PBEsol structure); values from VASP
! - Space group: R-3m, No. 166
! - E: -97.92 eV per formula unit
&SYSTEM
  ibrav = 0, nat = 4, ntyp = 3
/
ATOMIC_SPECIES
Ca 40.08 Ca.upf
Hg 200.59 Hg.upf
O 16.00 O.upf
CELL_PARAMETERS angstrom
3.567 0.000 0.000
1.783 3.089 0.000
1.783 1.030 6.224
ATOMIC_POSITIONS angstrom
Ca 3.567 2.059 3.112
Hg 0.000 0.000 0.000
O 1.783 1.030 4.246
O 5.350 3.089 1.977



No. 2
! CaHgOs3 (meta-GGA SCAN, single point on PBEsol structure); values from VASP
! - Space group: Pm-3m, No. 221
! - E_form: 250.67 kJ/mol of atoms
&SYSTEM
  ibrav = 0, nat = 5, ntyp = 3
/
ATOMIC_SPECIES
Ca 40.08 Ca.upf
Os 190.23 Os.upf
Hg 200.59 Hg.upf
CELL_PARAMETERS angstrom
-3.920 2.422 1.692
-2.893 -3.715 -1.385
0.598 -2.103 4.395
ATOMIC_POSITIONS angstrom
Ca -3.108 -1.698 2.351
Os -1.447 -1.858 -0.692
Os 0.299 -1.052 2.197
Os -1.960 1.211 0.846
Hg 0.000 0.000 0.000



No. 3
! CaHgOs2 (meta-GGA SCAN, single point on PBEsol structure); values from VASP
! - Space group: Pmm2, No. 25
! - E_form: 22.94 kJ/mol of atoms
&SYSTEM
  ibrav = 0, nat = 4, ntyp = 3
/
ATOMIC_SPECIES
Ca 40.08 Ca.upf
Hg 200.59 Hg.upf
Os 190.23 Os.upf
CELL_PARAMETERS angstrom
-1.020 1.461 -2.218
2.488 -1.560 -2.171
-4.658 -5.432 -1.436
ATOMIC_POSITIONS angstrom
Ca -2.253 -2.627 -0.694
Hg -2.904 -4.292 -3.316
Os -0.216 -0.252 -0.067
Os -0.146 -1.076 -2.466



No. 4
! CaHgOs2 (meta-GGA SCAN, single point on PBEsol structure); values from VASP
! - Space group: I4/mmm, No. 139
! - E_form: 79.44 kJ/mol of atoms
&SYSTEM
  ibrav = 0, nat = 4, ntyp = 3
/
ATOMIC_SPECIES
Ca 40.08 Ca.upf
Hg 200.59 Hg.upf
Os 190.23 Os.upf
CELL_PARAMETERS angstrom
3.909 0.000 0.000
0.000 3.909 0.000
-1.954 -1.954 4.597
ATOMIC_POSITIONS angstrom
Ca 1.954 1.954 0.000
Hg 0.000 0.000 0.000
Os 1.954 0.000 2.299
Os 0.000 1.954 2.299



no.,calculated volume (Å³ per cell)
1,68.6
2,118.3
3,75.8
4,70.2